Entry 1:
{"formula": "SrScGe3", "functional": "PBE-GGA", "state": "optimized geometry", "lattice": [[-0.112, 5.363, -0.341], [-2.405, 0.255, 4.801], [4.806, 0.253, 2.394]], "species": ["Ge", "Ge", "Ge", "Sr", "Sc"], "frac_coords": [[0.000, 0.500, 0.000], [0.500, 0.000, 0.000], [0.000, 0.000, 0.500], [0.000, 0.000, 0.000], [0.500, 0.500, 0.500]], "formation_enthalpy_0k_kj_per_mol_atoms": 97, "magnetic_moment_mub_per_atom": 0.000}

Entry 2:
{"formula": "SrSc3Ge", "functional": "PBE-GGA", "state": "optimized geometry", "lattice": [[-1.705, 0.640, 4.820], [2.864, -3.996, 1.543], [3.930, 3.190, 0.966]], "species": ["Sr", "Sc", "Sc", "Sc", "Ge"], "frac_coords": [[0.000, 0.000, 0.000], [0.000, 0.000, 0.500], [0.500, 0.000, 0.000], [0.000, 0.500, 0.000], [0.500, 0.500, 0.500]], "de_polymorph_mev_per_atom": 1420, "formation_enthalpy_0k_kj_per_mol_atoms": 135, "magnetic_moment_mub_per_atom": 0.000}

Entry 3:
{"formula": "SrScGe2", "functional": "PBE-GGA", "state": "optimized geometry", "lattice": [[-3.825, 1.210, 2.040], [-3.920, -0.333, -2.187], [-3.245, -5.229, 1.982]], "species": ["Ge", "Sc", "Sr", "Ge"], "frac_coords": [[0.276, 0.276, 0.171], [0.000, 0.000, 0.000], [0.500, 0.500, 0.500], [0.724, 0.724, 0.829]], "formation_enthalpy_0k_kj_per_mol_atoms": -44, "magnetic_moment_mub_per_atom": 0.000}

Entry 4:
{"formula": "SrYScGe2", "functional": "PBE-GGA", "state": "optimized geometry", "lattice": [[-0.105, 0.968, -5.395], [2.813, -4.232, -0.814], [-4.589, -2.966, -0.442]], "species": ["Sc", "Sr", "Y", "Ge", "Ge"], "frac_coords": [[0.000, 0.500, 0.000], [0.000, 0.000, 0.000], [0.500, 0.500, 0.500], [0.000, 0.000, 0.500], [0.500, 0.000, 0.000]], "formation_enthalpy_0k_kj_per_mol_atoms": 88, "magnetic_moment_mub_per_atom": 0.374}

Entry 5:
{"formula": "ScTa3Ge", "functional": "PBE-GGA", "state": "optimized geometry", "lattice": [[4.791, 0.000, 0.000], [0.000, 4.791, 0.000], [0.000, 0.000, 4.791]], "species": ["Sc", "Ge", "Ta", "Ta", "Ta"], "frac_coords": [[0.500, 0.500, 0.500], [0.000, 0.000, 0.000], [0.000, 0.000, 0.500], [0.000, 0.500, 0.000], [0.500, 0.000, 0.000]], "de_polymorph_mev_per_atom": 0, "formation_enthalpy_0k_kj_per_mol_atoms": 76, "magnetic_moment_mub_per_atom": 0.000}

Entry 6:
{"formula": "Sc2TaGe", "functional": "PBE-GGA", "state": "optimized geometry", "lattice": [[7.763, 0.000, 0.000], [0.000, 7.763, 0.000], [3.881, 3.881, 2.739]], "species": ["Sc", "Sc", "Sc", "Ge", "Ge", "Ta", "Ta", "Sc"], "frac_coords": [[0.875, 0.844, 0.750], [0.375, 0.406, 0.750], [0.156, 0.625, 0.250], [0.500, 0.500, 0.000], [0.250, 0.750, 0.500], [0.750, 0.250, 0.500], [0.000, 0.000, 0.000], [0.594, 0.125, 0.250]], "formation_enthalpy_0k_kj_per_mol_atoms": 24, "magnetic_moment_mub_per_atom": 0.000}

Entry 7:
{"formula": "ScTaGe3", "functional": "PBE-GGA", "state": "optimized geometry", "lattice": [[-4.001, -1.105, 2.699], [2.100, -4.271, 1.363], [2.024, 2.246, 3.920]], "species": ["Sc", "Ge", "Ge", "Ta", "Ge"], "frac_coords": [[0.500, 0.500, 0.500], [0.000, 0.000, 0.500], [0.500, 0.000, 0.000], [0.000, 0.000, 0.000], [0.000, 0.500, 0.000]], "formation_enthalpy_0k_kj_per_mol_atoms": 31, "magnetic_moment_mub_per_atom": 0.000}

Entry 8:
{"formula": "ScTa3Ge", "functional": "PBE-GGA", "state": "optimized geometry", "lattice": [[-0.811, -3.665, 2.896], [-1.695, -2.508, -3.649], [4.353, -1.659, -0.881]], "species": ["Ta", "Ge", "Ta", "Sc", "Ta"], "frac_coords": [[0.000, 0.500, 0.000], [0.500, 0.500, 0.500], [0.500, 0.000, 0.000], [0.000, 0.000, 0.000], [0.000, 0.000, 0.500]], "de_polymorph_mev_per_atom": 1112, "formation_enthalpy_0k_kj_per_mol_atoms": 183, "magnetic_moment_mub_per_atom": 0.000}